Entry 1:
DFT (PBE-GGA) results for a relaxed KYBe2B crystal.

Cell and atoms, written as POSCAR:
```
KYBe2B
1.0
4.7340 0.0000 0.0000
0.0000 4.7340 0.0000
0.0000 0.0000 4.6422
K Y Be B
1 1 2 1
Direct
0.0000 0.0000 0.0000 K
0.5000 0.5000 0.5000 Y
0.0000 0.5000 0.0000 Be
0.5000 0.0000 0.0000 Be
0.0000 0.0000 0.5000 B
```

Properties
**Density of states at the Fermi level**: 0.72 states/eV per atom
**Total magnetic moment**: 0.00 μB per formula unit
**VASP energy**: -2.359 eV per atom

=====

Entry 2:
DFT (PBE-GGA) results for a relaxed VH2Ru2 crystal.

Cell and atoms, written as POSCAR:
```
VH2Ru2
1.0
2.7704 0.0000 0.0000
-1.3852 2.3992 0.0000
0.0000 0.0000 6.7658
V H Ru
1 2 2
Direct
0.0000 0.0000 0.0000 V
0.3333 0.6667 0.8335 H
0.6667 0.3333 0.1665 H
0.3333 0.6667 0.3352 Ru
0.6667 0.3333 0.6648 Ru
```

Properties
**E above lowest polymorph**: 0.0 kJ/mol of atoms
**Density of states at the Fermi level**: 0.86 states/eV per atom
**Total magnetic moment**: 0.00 μB per formula unit

=====

Entry 3:
DFT (PBE-GGA) results for a relaxed La2Pm6NdTm crystal.

Cell and atoms, written as POSCAR:
```
La2Pm6NdTm
1.0
4.6049 -7.6345 0.0000
4.6049 7.6345 0.0000
-1.6871 0.0000 9.9021
La Pm Nd Tm
4 12 2 2
Direct
0.1956 0.2925 0.0417 La
0.2925 0.1956 0.5417 La
0.7075 0.8044 0.4583 La
0.8044 0.7075 0.9583 La
0.0166 0.5773 0.1893 Pm
0.1206 0.7392 0.5559 Pm
0.2608 0.8794 0.9441 Pm
0.2981 0.5060 0.3805 Pm
0.4227 0.9834 0.3107 Pm
0.4940 0.7019 0.1195 Pm
0.5060 0.2981 0.8805 Pm
0.5773 0.0166 0.6893 Pm
0.7019 0.4940 0.6195 Pm
0.7392 0.1206 0.0559 Pm
0.8794 0.2608 0.4441 Pm
0.9834 0.4227 0.8107 Pm
0.0128 0.9872 0.2500 Nd
0.9872 0.0128 0.7500 Nd
0.4060 0.5940 0.7500 Tm
0.5940 0.4060 0.2500 Tm
```

Properties
**Density of states at the Fermi level**: 1.47 states/eV per atom
**Total magnetic moment**: 0.00 μB per formula unit
**VASP energy**: -4.649 eV per atom

=====

Entry 4:
DFT (PBE-GGA) results for a relaxed Tb3Er12Sc crystal.

Cell and atoms, written as POSCAR:
```
Tb3Er12Sc
1.0
4.9558 0.0000 0.0000
0.0000 4.9558 0.0000
0.0000 0.0000 19.7808
Tb Er Sc
3 12 1
Direct
0.0000 0.0000 0.0000 Tb
0.0000 0.0000 0.2520 Tb
0.0000 0.0000 0.7480 Tb
0.0000 0.5000 0.1264 Er
0.0000 0.5000 0.3789 Er
0.0000 0.5000 0.6211 Er
0.0000 0.5000 0.8736 Er
0.5000 0.0000 0.1264 Er
0.5000 0.0000 0.3789 Er
0.5000 0.0000 0.6211 Er
0.5000 0.0000 0.8736 Er
0.5000 0.5000 0.0000 Er
0.5000 0.5000 0.2528 Er
0.5000 0.5000 0.5000 Er
0.5000 0.5000 0.7472 Er
0.0000 0.0000 0.5000 Sc
```

Properties
**Density of states at the Fermi level**: 1.35 states/eV per atom
**Total magnetic moment**: 0.00 μB per formula unit
**VASP energy**: -4.659 eV per atom

=====

Entry 5:
DFT (PBE-GGA) results for a relaxed NaCrHg2Sb crystal.

Cell and atoms, written as POSCAR:
```
NaCrHg2Sb
1.0
5.2759 0.0000 0.0000
0.0000 5.2759 0.0000
0.0000 0.0000 5.7891
Na Cr Hg Sb
1 1 2 1
Direct
0.0000 0.0000 0.0000 Na
0.5000 0.5000 0.5000 Cr
0.0000 0.5000 0.0000 Hg
0.5000 0.0000 0.0000 Hg
0.0000 0.0000 0.5000 Sb
```

Properties
**Density of states at the Fermi level**: 0.56 states/eV per atom
**Total magnetic moment**: 3.95 μB per formula unit
**Formation energy (no corrections)**: 0.781 eV/atom

=====

Entry 6:
DFT (PBE-GGA) results for a relaxed Hf3Ag3S8 crystal.

Cell and atoms, written as POSCAR:
```
Hf3Ag3S8
1.0
3.7705 2.1769 6.3456
-3.7705 2.1769 6.3456
0.0000 -4.3538 6.3456
Hf Ag S
3 3 8
Direct
0.0000 0.5000 0.5000 Hf
0.5000 0.0000 0.5000 Hf
0.5000 0.5000 0.0000 Hf
0.1235 0.1235 0.1235 Ag
0.5000 0.5000 0.5000 Ag
0.8765 0.8765 0.8765 Ag
0.2525 0.2525 0.7182 S
0.2525 0.7182 0.2525 S
0.2583 0.2583 0.2583 S
0.2818 0.7475 0.7475 S
0.7182 0.2525 0.2525 S
0.7417 0.7417 0.7417 S
0.7475 0.2818 0.7475 S
0.7475 0.7475 0.2818 S
```

Properties
**Density of states at the Fermi level**: 0.41 states/eV per atom
**Total magnetic moment**: 0.00 μB per formula unit
**Formation energy (no corrections)**: -0.990 eV/atom

=====

Entry 7:
DFT (PBE-GGA) results for a relaxed LiAg2Rh crystal.

Cell and atoms, written as POSCAR:
```
LiAg2Rh
1.0
1.4755 -2.3292 0.0000
1.4755 2.3292 0.0000
0.0000 0.0000 9.2986
Li Ag Rh
1 2 1
Direct
0.0000 0.0000 0.0000 Li
0.0000 0.0000 0.5218 Ag
0.5000 0.5000 0.2508 Ag
0.5000 0.5000 0.7781 Rh
```

Properties
**Density of states at the Fermi level**: 0.70 states/eV per atom
**Total magnetic moment**: 0.43 μB per formula unit
**VASP energy**: -3.705 eV per atom

=====

Entry 8:
DFT (PBE-GGA) results for a relaxed Li5Tl4Pd crystal.

Cell and atoms, written as POSCAR:
```
Li5Tl4Pd
1.0
3.3771 0.0000 0.0000
0.0000 3.3771 0.0000
0.0000 0.0000 16.9821
Li Tl Pd
5 4 1
Direct
0.0000 0.0000 0.0000 Li
0.0000 0.0000 0.2162 Li
0.0000 0.0000 0.4252 Li
0.0000 0.0000 0.5748 Li
0.0000 0.0000 0.7838 Li
0.5000 0.5000 0.1059 Tl
0.5000 0.5000 0.3268 Tl
0.5000 0.5000 0.6732 Tl
0.5000 0.5000 0.8941 Tl
0.5000 0.5000 0.5000 Pd
```

Properties
**Density of states at the Fermi level**: 0.35 states/eV per atom
**Total magnetic moment**: 0.00 μB per formula unit
**VASP energy**: -2.689 eV per atom

=====

Entry 9:
DFT (PBE-GGA) results for a relaxed SmDy3Y6 crystal.

Cell and atoms, written as POSCAR:
```
SmDy3Y6
1.0
5.5081 -9.4799 0.0000
5.5081 9.4799 0.0000
0.0000 0.0000 6.2652
Sm Dy Y
2 6 12
Direct
0.2053 0.7947 0.5000 Sm
0.7947 0.2053 0.0000 Sm
0.0627 0.2827 0.3004 Dy
0.2827 0.0627 0.8004 Dy
0.3893 0.6107 0.4190 Dy
0.6107 0.3893 0.9190 Dy
0.7173 0.9373 0.3004 Dy
0.9373 0.7173 0.8004 Dy
0.0445 0.4620 0.7093 Y
0.0469 0.9531 0.2502 Y
0.2805 0.7195 0.9986 Y
0.2904 0.3809 0.8836 Y
0.3809 0.2904 0.3836 Y
0.4620 0.0445 0.2093 Y
0.5380 0.9555 0.7093 Y
0.6191 0.7096 0.8836 Y
0.7096 0.6191 0.3836 Y
0.7195 0.2805 0.4986 Y
0.9531 0.0469 0.7502 Y
0.9555 0.5380 0.2093 Y
```

Properties
**E above lowest polymorph**: 2.8 kJ/mol of atoms
**Density of states at the Fermi level**: 1.50 states/eV per atom
**Total magnetic moment**: 0.00 μB per formula unit

=====

Entry 10:
DFT (PBE-GGA) results for a relaxed SrTe4 crystal.

Cell and atoms, written as POSCAR:
```
SrTe4
1.0
6.1376 0.0000 0.0000
0.0000 6.1376 0.0000
0.0000 0.0000 6.1376
Sr Te
1 4
Direct
0.0000 0.0000 0.0000 Sr
0.0000 0.0000 0.5000 Te
0.0000 0.5000 0.0000 Te
0.5000 0.0000 0.0000 Te
0.5000 0.5000 0.5000 Te
```

Properties
**Density of states at the Fermi level**: 1.81 states/eV per atom
**Total magnetic moment**: 1.12 μB per formula unit
**Formation energy (no corrections)**: 0.405 eV/atom

=====

Entry 11:
DFT (PBE-GGA) results for a relaxed AsPdS2N crystal.

Cell and atoms, written as POSCAR:
```
AsPdS2N
1.0
4.8534 0.0000 0.0000
0.0000 4.8534 0.0000
0.0000 0.0000 3.4979
As Pd S N
1 1 2 1
Direct
0.0000 0.0000 0.0000 As
0.5000 0.5000 0.5000 Pd
0.0000 0.5000 0.0000 S
0.5000 0.0000 0.0000 S
0.0000 0.0000 0.5000 N
```

Properties
**E above lowest polymorph**: 6.1 kJ/mol of atoms
**Density of states at the Fermi level**: 1.03 states/eV per atom
**Total magnetic moment**: 0.00 μB per formula unit
**Formation energy (no corrections)**: 1.012 eV/atom

=====

Entry 12:
DFT (PBE-GGA) results for a relaxed MoPtIN2 crystal.

Cell and atoms, written as POSCAR:
```
MoPtIN2
1.0
3.8849 0.0000 0.0000
0.0000 3.8849 0.0000
0.0000 0.0000 6.0201
Mo Pt I N
1 1 1 2
Direct
0.0000 0.0000 0.0000 Mo
0.5000 0.5000 0.5000 Pt
0.0000 0.0000 0.5000 I
0.0000 0.5000 0.0000 N
0.5000 0.0000 0.0000 N
```

Properties
**E above lowest polymorph**: 0.0 kJ/mol of atoms
**Density of states at the Fermi level**: 0.99 states/eV per atom
**Total magnetic moment**: 0.00 μB per formula unit
**Formation energy (no corrections)**: 0.796 eV/atom

=====

Entry 13:
DFT (PBE-GGA) results for a relaxed Ti2SeO crystal.

Cell and atoms, written as POSCAR:
```
Ti2SeO
1.0
0.0000 2.9847 2.9847
2.9847 0.0000 2.9847
2.9847 2.9847 0.0000
Ti Se O
2 1 1
Direct
0.2500 0.2500 0.2500 Ti
0.7500 0.7500 0.7500 Ti
0.0000 0.0000 0.0000 Se
0.5000 0.5000 0.5000 O
```

Properties
**E above lowest polymorph**: 46.0 kJ/mol of atoms
**Density of states at the Fermi level**: 0.26 states/eV per atom
**Total magnetic moment**: 0.00 μB per formula unit
**Formation energy (no corrections)**: -1.082 eV/atom

=====

Entry 14:
DFT (PBE-GGA) results for a relaxed TbPm4Pr2Tm2 crystal.

Cell and atoms, written as POSCAR:
```
TbPm4Pr2Tm2
1.0
7.6967 -2.5645 0.0000
7.6967 2.5645 0.0000
-2.5742 0.0000 7.6419
Tb Pm Pr Tm
1 4 2 2
Direct
0.0000 0.0000 0.0000 Tb
0.2212 0.2212 0.3296 Pm
0.4445 0.4445 0.6702 Pm
0.5555 0.5555 0.3298 Pm
0.7788 0.7788 0.6704 Pm
0.1118 0.1118 0.6693 Pr
0.8882 0.8882 0.3307 Pr
0.3330 0.3330 0.9998 Tm
0.6670 0.6670 0.0002 Tm
```

Properties
**Density of states at the Fermi level**: 1.61 states/eV per atom
**Total magnetic moment**: 0.00 μB per formula unit
**VASP energy**: -4.659 eV per atom

=====

Entry 15:
DFT (PBE-GGA) results for a relaxed ScMnFeGe2 crystal.

Cell and atoms, written as POSCAR:
```
ScMnFeGe2
1.0
-1.8949 1.8949 5.3845
1.8949 -1.8949 5.3845
1.8949 1.8949 -5.3845
Sc Mn Fe Ge
1 1 1 2
Direct
0.0000 0.0000 0.0000 Sc
0.2500 0.7500 0.5000 Mn
0.7500 0.2500 0.5000 Fe
0.3862 0.3862 0.0000 Ge
0.6138 0.6138 0.0000 Ge
```

Properties
**Density of states at the Fermi level**: 0.62 states/eV per atom
**Total magnetic moment**: 3.74 μB per formula unit
**VASP energy**: -7.046 eV per atom

=====

Entry 16:
DFT (PBE-GGA) results for a relaxed Sm3InTe2 crystal.

Cell and atoms, written as POSCAR:
```
Sm3InTe2
1.0
-2.1646 3.1513 6.8801
2.1646 -3.1513 6.8801
2.1646 3.1513 -6.8801
Sm In Te
3 1 2
Direct
0.0000 0.0000 0.0000 Sm
0.3335 0.3335 0.0000 Sm
0.6665 0.6665 0.0000 Sm
0.5000 0.0000 0.5000 In
0.1676 0.6676 0.5000 Te
0.8324 0.3324 0.5000 Te
```

Properties
**Density of states at the Fermi level**: 0.19 states/eV per atom
**Total magnetic moment**: 0.00 μB per formula unit
**Formation energy (no corrections)**: -1.095 eV/atom

=====

Entry 17:
DFT (PBE-GGA) results for a relaxed MgTa2Se crystal.

Cell and atoms, written as POSCAR:
```
MgTa2Se
1.0
-1.6152 2.4304 4.6743
1.6152 -2.4304 4.6743
1.6152 2.4304 -4.6743
Mg Ta Se
1 2 1
Direct
0.0000 0.0000 0.0000 Mg
0.4709 0.4709 0.0000 Ta
0.7275 0.2275 0.5000 Ta
0.2523 0.7523 0.5000 Se
```

Properties
**E above lowest polymorph**: 17.4 kJ/mol of atoms
**Density of states at the Fermi level**: 0.83 states/eV per atom
**Total magnetic moment**: 0.00 μB per formula unit
**Formation energy (no corrections)**: 0.166 eV/atom

=====

Entry 18:
DFT (PBE-GGA) results for a relaxed DyAl2Pt crystal.

Cell and atoms, written as POSCAR:
```
DyAl2Pt
1.0
2.1223 1.2253 5.0752
-2.1223 1.2253 5.0752
0.0000 -2.4506 5.0752
Dy Al Pt
1 2 1
Direct
0.0000 0.0000 0.0000 Dy
0.2116 0.2116 0.2116 Al
0.7884 0.7884 0.7884 Al
0.5000 0.5000 0.5000 Pt
```

Properties
**Density of states at the Fermi level**: 0.58 states/eV per atom
**Total magnetic moment**: 0.00 μB per formula unit
**VASP energy**: -5.369 eV per atom

=====

Entry 19:
DFT (PBE-GGA) results for a relaxed SrBe3Co crystal.

Cell and atoms, written as POSCAR:
```
SrBe3Co
1.0
4.2422 0.0000 0.0000
0.0000 4.2422 0.0000
0.0000 0.0000 4.2422
Sr Be Co
1 3 1
Direct
0.0000 0.0000 0.0000 Sr
0.0000 0.5000 0.5000 Be
0.5000 0.0000 0.5000 Be
0.5000 0.5000 0.0000 Be
0.5000 0.5000 0.5000 Co
```

Properties
**E above lowest polymorph**: 0.0 kJ/mol of atoms
**Density of states at the Fermi level**: 0.56 states/eV per atom
**Total magnetic moment**: 0.00 μB per formula unit

=====

Entry 20:
DFT (PBE-GGA) results for a relaxed ZrSn2Hg2 crystal.

Cell and atoms, written as POSCAR:
```
ZrSn2Hg2
1.0
7.9989 0.0000 0.0000
0.0000 7.9989 0.0000
0.0000 0.0000 3.8098
Zr Sn Hg
2 4 4
Direct
0.0000 0.0000 0.0000 Zr
0.5000 0.5000 0.0000 Zr
0.1738 0.3262 0.5000 Sn
0.3262 0.8262 0.5000 Sn
0.6738 0.1738 0.5000 Sn
0.8262 0.6738 0.5000 Sn
0.1303 0.6303 0.0000 Hg
0.3697 0.1303 0.0000 Hg
0.6303 0.8697 0.0000 Hg
0.8697 0.3697 0.0000 Hg
```

Properties
**E above lowest polymorph**: 0.0 kJ/mol of atoms
**Density of states at the Fermi level**: 0.96 states/eV per atom
**Total magnetic moment**: 0.00 μB per formula unit